# 1
## KHgPt (PBE)

Data for an optimized crystal structure of KHgPt.

The calculation puts the energy of formation from the pure elements at -0.08 eV/atom.

The space group is P-6m2 (No. 187) and the conventional cell measures 4.6617, 4.6617 and 4.7396 Å, with angles of 90.00, 90.00 and 120.00 degrees. The distinct sites, in fractional coordinates, are K at (0.0000, 0.0000, 0.0000), Hg at (0.3333, 0.6667, 0.5000) and Pt at (0.6667, 0.3333, 0.5000).

# 2
## ReAs2IrSe (PBE)

Data for an optimized crystal structure of ReAs2IrSe.

The formation energy without anion corrections is 27.598 kcal/mol of atoms.

The space group is P4/mmm (No. 123) and the conventional cell measures 4.7642, 4.7642 and 4.7365 Å, with angles of 90.00, 90.00 and 90.00 degrees. The distinct sites, in fractional coordinates, are Re at (0.0000, 0.0000, 0.0000), As at (0.0000, 0.5000, 0.0000), Ir at (0.5000, 0.5000, 0.5000) and Se at (0.0000, 0.0000, 0.5000).

# 3
## SiTcOs2 (PBE)

Data for an optimized crystal structure of SiTcOs2.

The formation energy without anion corrections is 1.425 kcal/mol of atoms.

The space group is Pmmm (No. 47) and the conventional cell measures 2.7968, 3.7866 and 5.2848 Å, with angles of 90.00, 90.00 and 90.00 degrees. The distinct sites, in fractional coordinates, are Si at (0.0000, 0.0000, 0.0000), Tc at (0.0000, 0.0000, 0.5000) and Os at (0.5000, 0.5000, 0.2457).

# 4
## TbMgGe (PBE)

Data for an optimized crystal structure of TbMgGe.

The calculation puts the energy of formation from the pure elements at -0.67 eV/atom.

The space group is I4/mmm (No. 139) and the conventional cell measures 4.2008, 4.2008 and 15.3247 Å, with angles of 90.00, 90.00 and 90.00 degrees. The distinct sites, in fractional coordinates, are Tb at (0.0000, 0.0000, 0.1697), Mg at (0.0000, 0.5000, 0.0000) and Ge at (0.0000, 0.0000, 0.3647).

# 5
## Pm2Sm8Sc (PBE)

Data for an optimized crystal structure of Pm2Sm8Sc.

The calculation puts the energy of formation from the pure elements at 0.03 eV/atom.

The space group is C2/m (No. 12) and the conventional cell measures 18.3369, 5.0966 and 8.0501 Å, with angles of 90.00, 105.31 and 90.00 degrees. The distinct sites, in fractional coordinates, are Pm at (0.2260, 0.0000, 0.1358), Sm at (0.0446, 0.0000, 0.2309), Sm at (0.0893, 0.5000, 0.9475), Sm at (0.1344, 0.0000, 0.6773), Sm at (0.1799, 0.5000, 0.4094) and Sc at (0.0000, 0.5000, 0.5000).

# 6
## SrTl2SiOs (PBE)

Data for an optimized crystal structure of SrTl2SiOs.

The formation energy without anion corrections is 17.854 kcal/mol of atoms.

The space group is P4/mmm (No. 123) and the conventional cell measures 5.2598, 5.2598 and 5.7710 Å, with angles of 90.00, 90.00 and 90.00 degrees. The distinct sites, in fractional coordinates, are Sr at (0.0000, 0.0000, 0.0000), Tl at (0.0000, 0.5000, 0.5000), Si at (0.5000, 0.5000, 0.0000) and Os at (0.0000, 0.0000, 0.5000).

# 7
## CuAu2F (PBE)

Data for an optimized crystal structure of CuAu2F.

The formation energy without anion corrections is -4.323 kcal/mol of atoms.

The space group is Fm-3m (No. 225) and the conventional cell measures 6.1695, 6.1695 and 6.1695 Å, with angles of 90.00, 90.00 and 90.00 degrees. The distinct sites, in fractional coordinates, are Cu at (0.0000, 0.0000, 0.0000), Au at (0.2500, 0.2500, 0.2500) and F at (0.0000, 0.0000, 0.5000).

# 8
## HgI (PBE)

Data for an optimized crystal structure of HgI.

The formation energy without anion corrections is -1.575 kcal/mol of atoms.

The space group is Fm-3m (No. 225) and the conventional cell measures 6.5401, 6.5401 and 6.5401 Å, with angles of 90.00, 90.00 and 90.00 degrees. The distinct sites, in fractional coordinates, are Hg at (0.0000, 0.0000, 0.0000) and I at (0.0000, 0.0000, 0.5000).

# 9
## Tl3IrW (PBE)

Data for an optimized crystal structure of Tl3IrW.

The calculation puts the energy of formation from the pure elements at 1.76 eV/atom.

The space group is Pm-3m (No. 221) and the conventional cell measures 5.3371, 5.3371 and 5.3371 Å, with angles of 90.00, 90.00 and 90.00 degrees. The distinct sites, in fractional coordinates, are Tl at (0.0000, 0.0000, 0.5000), Ir at (0.5000, 0.5000, 0.5000) and W at (0.0000, 0.0000, 0.0000).

# 10
## HgAsRh (PBE)

Data for an optimized crystal structure of HgAsRh.

The calculation puts the energy of formation from the pure elements at 0.01 eV/atom.

The space group is I4/mmm (No. 139) and the conventional cell measures 3.8424, 3.8424 and 18.0801 Å, with angles of 90.00, 90.00 and 90.00 degrees. The distinct sites, in fractional coordinates, are Hg at (0.0000, 0.0000, 0.1982), As at (0.0000, 0.0000, 0.4110) and Rh at (0.0000, 0.5000, 0.0000).

# 11
## Tm2MgHg (PBE)

Data for an optimized crystal structure of Tm2MgHg.

The calculation puts the energy of formation from the pure elements at -0.15 eV/atom.

The space group is P-3m1 (No. 164) and the conventional cell measures 3.5593, 3.5593 and 9.9499 Å, with angles of 90.00, 90.00 and 120.00 degrees. The distinct sites, in fractional coordinates, are Tm at (0.3333, 0.6667, 0.2375), Mg at (0.0000, 0.0000, 0.5000) and Hg at (0.0000, 0.0000, 0.0000).

# 12
## Y6HoEr (PBE)

Data for an optimized crystal structure of Y6HoEr.

The calculation puts the energy of formation from the pure elements at 0.21 eV/atom.

The space group is P-1 (No. 2) and the conventional cell measures 6.5606, 6.7885 and 6.9100 Å, with angles of 119.35, 102.15 and 90.05 degrees. The distinct sites, in fractional coordinates, are Y at (0.2320, 0.4067, 0.4798), Y at (0.2497, 0.9472, 0.9995), Y at (0.2674, 0.9258, 0.5187), Ho at (0.5000, 0.5000, 0.0000) and Er at (0.0000, 0.5000, 0.0000).